A geometry-optimized Cs2CrAuF structure, computed with PBE with a Hubbard U.

Unit cell a=6.991 b=4.654 c=6.991 alpha=90.00 beta=90.00 gamma=90.00
Site moments in Bohr magnetons follow the coordinates.
Fractional positions:
Cs  0.000  0.000  0.500  0.00
Cs  0.500  0.000  0.000  0.00
Cr  0.500  0.500  0.500  4.52
Au  0.000  0.000  0.000  0.00
F  0.000  0.500  0.000  0.00

Computed properties:
E   -15.22 eV for the cell shown
DOS at the Fermi energy   0.231 states/eV per atom